Record 1
Tm2CdCuPd4: relaxed, PBE.

E ... -40.24 eV per cell
Mass density ... 10.7 g/cm3
Total magnetization ... 0.00 μB per formula unit
Energy of formation ... -0.69 eV per atom

a b c (Å): 4.699 4.699 8.064
angles (deg): 73.06 73.06 60.00
Sites, in units of the cell vectors:
1 Tm 0.752 0.752 0.743
2 Tm 0.248 0.248 0.257
3 Cd 0.000 0.000 0.000
4 Cu 0.500 0.500 0.500
5 Pd 0.379 0.379 0.863
6 Pd 0.874 0.874 0.379
7 Pd 0.126 0.126 0.621
8 Pd 0.621 0.621 0.137

***

Record 2
BaZnPbCl6: relaxed, PBE.

E ... -31.95 eV per cell
Mass density ... 3.7 g/cm3
Total magnetization ... 0.00 μB per formula unit
Formation energy (no corrections) ... -1.551 eV per atom

a b c (Å): 7.045 7.045 6.573
angles (deg): 90.01 89.99 59.98
Sites, in units of the cell vectors:
1 Ba 0.000 0.000 0.000
2 Zn 0.333 0.333 0.500
3 Pb 0.667 0.667 0.500
4 Cl 0.042 0.339 0.276
5 Cl 0.339 0.042 0.724
6 Cl 0.619 0.339 0.725
7 Cl 0.042 0.619 0.724
8 Cl 0.339 0.619 0.275
9 Cl 0.619 0.042 0.276

***

Record 3
TlTcW2: relaxed, PBE.

E ... -36.44 eV per cell
Energy above the lowest structure with this stoichiometry ... 0.000 eV/atom
Mass density ... 15.8 g/cm3
Total magnetization ... 0.00 μB per formula unit
Energy of formation ... 0.55 eV per atom

a b c (Å): 2.866 2.866 9.233
angles (deg): 90.00 90.00 112.00
Sites, in units of the cell vectors:
1 Tc 0.000 0.000 0.479
2 Tl 0.500 0.500 0.746
3 W 0.000 0.000 0.022
4 W 0.500 0.500 0.254

***

Record 4
ZrTcPS2: relaxed, PBE.

E ... -31.74 eV per cell
Energy above the lowest structure with this stoichiometry ... 0.000 eV/atom
Mass density ... 4.9 g/cm3
Total magnetization ... 0.15 μB per formula unit
Formation energy (no corrections) ... 0.168 eV per atom

a b c (Å): 4.644 4.644 4.502
angles (deg): 90.00 90.00 90.00
Last column: magnetic moment on the atom in μB.
Sites, in units of the cell vectors:
1 P 0.000 0.000 0.500  -0.01
2 S 0.000 0.500 0.000  0.00
3 S 0.500 0.000 0.000  0.00
4 Tc 0.000 0.000 0.000  0.07
5 Zr 0.500 0.500 0.500  0.06

***

Record 5
Ce3YEr2S6: relaxed, PBE.

E ... -82.40 eV per cell
Mass density ... 6.6 g/cm3
Total magnetization ... 2.49 μB per formula unit
Formation energy (no corrections) ... -2.021 eV per atom

a b c (Å): 6.805 6.805 6.931
angles (deg): 99.43 99.43 120.04
Last column: magnetic moment on the atom in μB.
Sites, in units of the cell vectors:
1 Ce 0.166 0.834 0.500  0.70
2 Ce 0.834 0.166 0.500  0.70
3 Ce 0.500 0.500 0.500  0.70
4 Y 0.000 0.000 0.000  -0.01
5 Er 0.333 0.667 0.000  -0.01
6 Er 0.667 0.333 0.000  -0.01
7 S 0.921 0.585 0.764  -0.01
8 S 0.742 0.742 0.235  -0.01
9 S 0.079 0.415 0.236  -0.01
10 S 0.585 0.921 0.764  -0.01
11 S 0.258 0.258 0.765  -0.01
12 S 0.415 0.079 0.236  -0.01

***

Record 6
RbNa2Rh: relaxed, PBE.

E ... -16.82 eV per cell
Energy above the lowest structure with this stoichiometry ... 0.140 eV/atom
Mass density ... 3.0 g/cm3
Total magnetization ... 0.37 μB per formula unit
Energy of formation ... 0.64 eV per atom

a b c (Å): 5.011 5.011 11.046
angles (deg): 76.89 76.89 90.00
Last column: magnetic moment on the atom in μB.
Sites, in units of the cell vectors:
1 Na 0.709 0.125 0.250  -0.01
2 Na 0.041 0.625 0.250  0.00
3 Na 0.375 0.291 0.750  0.00
4 Na 0.875 0.959 0.750  -0.01
5 Rh 0.000 0.000 0.000  0.43
6 Rh 0.750 0.250 0.500  0.43
7 Rb 0.500 0.500 0.000  -0.01
8 Rb 0.250 0.750 0.500  -0.01

***

Record 7
KLaNF2: relaxed, PBE.

E ... -29.26 eV per cell
Mass density ... 3.8 g/cm3
Total magnetization ... 0.00 μB per formula unit
Formation energy (no corrections) ... -2.234 eV per atom

a b c (Å): 4.843 4.843 4.336
angles (deg): 90.00 90.00 90.00
Sites, in units of the cell vectors:
1 N 0.000 0.000 0.500
2 K 0.500 0.500 0.500
3 F 0.000 0.500 0.000
4 F 0.500 0.000 0.000
5 La 0.000 0.000 0.000

***

Record 8
LiBe2W: relaxed, PBE.

E ... -20.75 eV per cell
Energy above the lowest structure with this stoichiometry ... 0.218 eV/atom
Mass density ... 6.5 g/cm3
Total magnetization ... 0.00 μB per formula unit
Energy of formation ... 0.39 eV per atom

a b c (Å): 8.660 8.660 8.660
angles (deg): 17.84 17.84 17.84
Sites, in units of the cell vectors:
1 Be 0.003 0.003 0.003
2 Be 0.497 0.497 0.497
3 Li 0.250 0.250 0.250
4 W 0.750 0.750 0.750

***

- Which value of total magnetization does entry 4 give?
  0.15 μB per formula unit

***

- What is the mass density in the seventh record?
  3.8 g/cm3

***

- total magnetization of number 7 (KLaNF2)?
  0.00 μB per formula unit

***

- Look up the total magnetization of the eighth one.
  0.00 μB per formula unit